DFT (PBE) results for a relaxed La6Ge2TeCl3 crystal.

Geometry as CIF:
```
data_La6Ge2TeCl3
_chemical_formula_sum 'La12 Ge4 Te2 Cl6'
_cell_length_a 18.676
_cell_length_b 4.407
_cell_length_c 8.597
_cell_angle_alpha 90.00
_cell_angle_beta 99.59
_cell_angle_gamma 90.00
_symmetry_space_group_name_H-M 'C 1 2/m 1'
_symmetry_Int_Tables_number 12
_symmetry_space_group_name_Hall '-C 2y'
loop_
_atom_site_label
_atom_site_fract_x
_atom_site_fract_y
_atom_site_fract_z
_atom_site_occupancy
La1 0.006 0.000 0.271 1
La2 0.169 0.500 0.578 1
La3 0.174 0.500 0.101 1
Ge1 0.167 0.000 0.334 1
Te1 0.000 0.500 0.000 1
Cl1 0.000 0.500 0.500 1
Cl2 0.163 0.000 0.834 1
```

Computed properties:
- crystal system = monoclinic
- formation energy without anion corrections (eV/atom) = -1.424
- DOS(E_F) (states/eV per cell) = 13.1
- M_tot (μB/atom) = 0.000